# 1
## YCrCo (PBE)

Data for YCrCo after structural relaxation.

total magnetization = 0.23 μB per cell
energy above the lowest structure with this stoichiometry = 60 kJ/mol of formula units
calculated formation energy = 28.8 kJ per mole of atoms

Geometry as extended XYZ:
```
3
Lattice="5.854 -0.005 0.005 5.079 2.912 -0.003 0.775 0.215 2.909" Properties=species:S:1:pos:R:3 pbc="T T T"
Co 10.547 2.805 0.112
Cr 4.545 1.214 1.830
Y 7.549 2.010 0.970
```

---

# 2
## Er7Ni2Hg2 (PBE)

Data for Er7Ni2Hg2 after structural relaxation.

total magnetization = 0.00 μB per cell
calculated formation energy = -22.7 kJ per mole of atoms

Geometry as extended XYZ:
```
11
Lattice="-3.708 0.273 -5.550 -5.611 -1.778 3.661 -0.011 6.016 2.905" Properties=species:S:1:pos:R:3 pbc="T T T"
Er -5.095 2.845 -3.193
Er -6.094 4.812 2.887
Er -4.235 1.666 4.209
Er -3.235 -0.300 -1.871
Er 0.000 0.000 0.000
Er -6.133 1.790 1.464
Er -3.196 2.722 -0.448
Ni -8.229 0.189 0.604
Ni -1.101 4.323 0.412
Hg -5.837 4.239 -0.326
Hg -3.492 0.273 1.342
```

---

# 3
## SnPRuCl2 (PBE)

Data for SnPRuCl2 after structural relaxation.

total magnetization = 3.69 μB per cell
energy above the lowest structure with this stoichiometry = 401 kJ/mol of formula units
formation energy from raw total energies = 0.92 eV per atom

Geometry as extended XYZ:
```
5
Lattice="-3.266 -2.531 2.965 3.078 -4.048 -0.065 2.469 1.809 4.263" Properties=species:S:1:pos:R:3 pbc="T T T"
Ru 1.140 -2.385 3.582
Sn 0.000 0.000 0.000
P 1.234 0.905 2.132
Cl 1.539 -2.024 -0.032
Cl -1.633 -1.265 1.482
```

---

Looking at E for the records above, in order, we have -7.4327 -4.2450 -3.5564 eV/atom.